VASP calculation (GGA-PBE) on an optimized crystal structure of GdPuFe.

a = 6.0809 Å, b = 6.0809 Å, c = 6.0809 Å
α = 146.78°, β = 146.78°, γ = 47.69°
Last column: nearest neighbours and their distance in Å.
Positions (direct):
Gd: 0.0000 0.0000 0.0000  5 Pu 3.13-3.45, 4 Fe 3.18, 4 Gd 3.48
Pu: 0.2818 0.2818 0.0000  4 Fe 2.70
Fe: 0.6815 0.6815 0.0000  4 Pu 2.70

Summary:
- Offset from the most stable computed form: 0 meV/atom
- Total moment: 11.381 μB per cell
- Formation energy: 87 meV/atom
- Symmetry: I4mm (107)